Here is crystalline Rb2BaP2O6 at its relaxed geometry from Alexandria. Energies are from PBE.

Calculated values
Formation energy (no corrections) (meV/atom): -2395

a b c (Å): 6.2352 6.2352 7.3405
angles (deg): 117.97 117.97 59.40
Last column: nearest neighbours and their distance in Å.
Sites, in units of the cell vectors:
Rb  0.2127  0.2127  0.1869  9 O 3.03-3.33
Rb  0.7873  0.7873  0.8131  9 O 3.03-3.33
Ba  0.0000  0.0000  0.5000  6 O 2.68
P  0.4618  0.4618  0.8261  3 O 1.55
P  0.5382  0.5382  0.1739  3 O 1.55
O  0.2667  0.6829  0.2117  1 P 1.55
O  0.2922  0.2922  0.6936  1 P 1.55
O  0.3171  0.7333  0.7883  1 P 1.55
O  0.6829  0.2667  0.2117  1 P 1.55
O  0.7078  0.7078  0.3064  1 P 1.55
O  0.7333  0.3171  0.7883  1 P 1.55